No. 1
The following is a DFT calculation (PBE) of a relaxed structure of RbYGe.

Properties
The total magnetic moment comes out at 0.0 μB per cell. For the theoretical density, the calculation gives 4.2 g/cm³. The density of states at the Fermi level is 0.00 states/eV/f.u. As for the energy of formation: -243.1 meV/atom. The uncorrected energy comes out at -4.26 eV per atom. The value obtained for the calculated volume is 387 Å³ per cell.

a b c (Å): 9.1386 5.1445 8.2354
angles (deg): 90.00 90.00 90.00
Last column: nearest neighbours and their distance in Å.
Space group Pnma (No. 62)
Inequivalent atoms, fractional coordinates:
Rb  0.0078  0.2500  0.1445 [4 per cell]  2 Rb 3.51, 3 Ge 3.58-3.60, 4 Y 3.71-3.81
Y  0.1428  0.2500  0.5780 [4 per cell]  4 Ge 2.93-3.04
Ge  0.1757  0.7500  0.3872 [4 per cell]  4 Y 2.93-3.04


No. 2
The following is a DFT calculation (PBE) of a relaxed structure of RbYGe.

Properties
The total magnetic moment comes out at 0.7 μB per cell. For the theoretical density, the calculation gives 3.1 g/cm³. The density of states at the Fermi level is 2.32 states/eV/f.u. As for the energy of formation: -244.6 meV/atom. The uncorrected energy comes out at -4.26 eV per atom. The value obtained for the calculated volume is 262 Å³ per cell.

a b c (Å): 4.2620 5.5353 12.0735
angles (deg): 86.88 83.69 67.51
Last column: nearest neighbours and their distance in Å.
Space group P-1 (No. 2)
Inequivalent atoms, fractional coordinates:
Rb  0.2282  0.2473  0.1694 [2 per cell]  2 Ge 3.65
Y  0.1131  0.2245  0.5778 [2 per cell]  5 Ge 2.96-3.03
Ge  0.4004  0.6450  0.5890 [2 per cell]  1 Ge 2.62


No. 3
The following is a DFT calculation (PBE) of a relaxed structure of RbYGe.

Properties
The total magnetic moment comes out at 0.0 μB per cell. For the theoretical density, the calculation gives 3.5 g/cm³. The density of states at the Fermi level is 1.76 states/eV/f.u. As for the energy of formation: -378.6 meV/atom. The uncorrected energy comes out at -4.39 eV per atom. The value obtained for the calculated volume is 232 Å³ per cell.

a b c (Å): 4.0665 4.0880 14.1020
angles (deg): 90.09 97.40 90.00
Last column: nearest neighbours and their distance in Å.
Space group P1 (No. 1)
Inequivalent atoms, fractional coordinates:
Rb  0.0000  0.0000  0.0000 [1 per cell]  1 Y 3.53, 2 Ge 3.89-3.90
Rb  0.1180  0.5019  0.3329 [1 per cell]  1 Y 3.51
Y  0.2452  0.5000  0.5839 [1 per cell]  5 Ge 2.97-3.00
Y  0.8173  0.0009  0.7486 [1 per cell]  5 Ge 2.96-3.01
Ge  0.3422  0.5009  0.7987 [1 per cell]  5 Y 2.96-3.00
Ge  0.7219  0.9996  0.5334 [1 per cell]  5 Y 2.97-3.01


No. 4
The following is a DFT calculation (PBE) of a relaxed structure of RbYGe.

Properties
The total magnetic moment comes out at 1.5 μB per cell. For the theoretical density, the calculation gives 3.9 g/cm³. The density of states at the Fermi level is 1.29 states/eV/f.u. As for the energy of formation: -161.9 meV/atom. The uncorrected energy comes out at -4.18 eV per atom. The value obtained for the calculated volume is 426 Å³ per cell.

a b c (Å): 9.2186 6.9165 7.8674
angles (deg): 90.00 121.92 90.00
Last column: nearest neighbours and their distance in Å.
Space group C2/m (No. 12)
Inequivalent atoms, fractional coordinates:
Rb  0.1932  0.0000  0.0038 [4 per cell]  3 Rb 3.53-3.62, 2 Ge 3.67
Y  0.1862  0.5000  0.4226 [4 per cell]  4 Ge 2.92-2.98
Ge  0.0000  0.2061  0.5000 [4 per cell]  1 Ge 2.85, 4 Y 2.92-2.98


No. 5
The following is a DFT calculation (PBE) of a relaxed structure of RbYGe.

Properties
The total magnetic moment comes out at 0.0 μB per cell. For the theoretical density, the calculation gives 4.8 g/cm³. The density of states at the Fermi level is 0.04 states/eV/f.u. As for the energy of formation: -57.9 meV/atom. The uncorrected energy comes out at -4.07 eV per atom. The value obtained for the calculated volume is 171 Å³ per cell.

a b c (Å): 5.5462 5.5462 6.4065
angles (deg): 90.00 90.00 120.00
Last column: nearest neighbours and their distance in Å.
Space group P6_3mc (No. 186)
Inequivalent atoms, fractional coordinates:
Rb  0.0000  0.0000  0.0000 [2 per cell]  2 Rb 3.20, 6 Y 3.57-3.59, 6 Ge 3.58
Y  0.3333  0.6667  0.2520 [2 per cell]  5 Ge 3.19-3.21, 3 Rb 3.57
Ge  0.3333  0.6667  0.7506 [2 per cell]  5 Y 3.19-3.21


No. 6
The following is a DFT calculation (PBE) of a relaxed structure of RbYGe3.

Properties
The total magnetic moment comes out at 0.0 μB per cell. For the theoretical density, the calculation gives 3.8 g/cm³. The density of states at the Fermi level is 2.38 states/eV/f.u. As for the energy of formation: 245.4 meV/atom. The uncorrected energy comes out at -4.01 eV per atom. The value obtained for the calculated volume is 171 Å³ per cell.

a b c (Å): 5.5516 5.5516 5.5516
angles (deg): 90.00 90.00 90.00
Last column: nearest neighbours and their distance in Å.
Space group Pm-3m (No. 221)
Inequivalent atoms, fractional coordinates:
Rb  0.0000  0.0000  0.0000 [1 per cell]  12 Ge 3.93
Y  0.5000  0.5000  0.5000 [1 per cell]  6 Ge 2.78
Ge  0.0000  0.5000  0.5000 [3 per cell]  2 Y 2.78


No. 7
The following is a DFT calculation (PBE) of a relaxed structure of RbYGe.

Properties
The total magnetic moment comes out at 0.0 μB per cell. For the theoretical density, the calculation gives 3.6 g/cm³. The density of states at the Fermi level is 0.03 states/eV/f.u. As for the energy of formation: -40.7 meV/atom. The uncorrected energy comes out at -4.06 eV per atom. The value obtained for the calculated volume is 462 Å³ per cell.

a b c (Å): 8.0626 5.0147 11.4256
angles (deg): 90.00 90.00 90.00
Last column: nearest neighbours and their distance in Å.
Space group Pnma (No. 62)
Inequivalent atoms, fractional coordinates:
Rb  0.1129  0.2500  0.0966 [4 per cell]  4 Ge 3.55-3.76, 2 Rb 3.80, 1 Y 3.97
Y  0.0047  0.7500  0.3783 [4 per cell]  3 Ge 2.86
Ge  0.1702  0.2500  0.4044 [4 per cell]  3 Y 2.86


No. 8
The following is a DFT calculation (PBE) of a relaxed structure of RbYGe.

Properties
The total magnetic moment comes out at 0.0 μB per cell. For the theoretical density, the calculation gives 3.7 g/cm³. The density of states at the Fermi level is 0.00 states/eV/f.u. As for the energy of formation: -294.1 meV/atom. The uncorrected energy comes out at -4.31 eV per atom. The value obtained for the calculated volume is 222 Å³ per cell.

a b c (Å): 5.3343 5.3343 7.8079
angles (deg): 90.00 90.00 90.00
Last column: nearest neighbours and their distance in Å.
Space group P4/nmm (No. 129, origin choice 2)
Inequivalent atoms, fractional coordinates:
Rb  0.2500  0.7500  0.0000 [2 per cell]  4 Ge 3.75, 4 Rb 3.77, 2 Y 3.90
Y  0.2500  0.7500  0.5000 [2 per cell]  4 Ge 2.95
Ge  0.2500  0.2500  0.3373 [2 per cell]  4 Y 2.95


No. 9
The following is a DFT calculation (PBE) of a relaxed structure of RbYGe3.

Properties
The total magnetic moment comes out at 0.0 μB per cell. For the theoretical density, the calculation gives 4.2 g/cm³. The density of states at the Fermi level is 4.10 states/eV/f.u. As for the energy of formation: 1261.8 meV/atom. The uncorrected energy comes out at -2.99 eV per atom. The value obtained for the calculated volume is 156 Å³ per cell.

a b c (Å): 5.3823 5.3823 5.3823
angles (deg): 90.00 90.00 90.00
Last column: nearest neighbours and their distance in Å.
Space group Pm-3m (No. 221)
Inequivalent atoms, fractional coordinates:
Rb  0.0000  0.0000  0.0000 [1 per cell]  6 Ge 2.69
Y  0.5000  0.5000  0.5000 [1 per cell]  12 Ge 3.81
Ge  0.0000  0.0000  0.5000 [3 per cell]  2 Rb 2.69


No. 10
The following is a DFT calculation (PBE) of a relaxed structure of RbYGe.

Properties
The total magnetic moment comes out at 0.0 μB per cell. For the theoretical density, the calculation gives 3.3 g/cm³. The density of states at the Fermi level is 1.96 states/eV/f.u. As for the energy of formation: 30.3 meV/atom. The uncorrected energy comes out at -3.99 eV per atom. The value obtained for the calculated volume is 125 Å³ per cell.

a b c (Å): 4.8974 4.8974 6.0318
angles (deg): 90.00 90.00 120.00
Last column: nearest neighbours and their distance in Å.
Space group P-6m2 (No. 187)
Inequivalent atoms, fractional coordinates:
Rb  0.0000  0.0000  0.0000 [1 per cell]  6 Ge 4.13, 6 Y 4.13
Y  0.3333  0.6667  0.5000 [1 per cell]  3 Ge 2.83
Ge  0.6667  0.3333  0.5000 [1 per cell]  3 Y 2.83


No. 11
The following is a DFT calculation (PBE) of a relaxed structure of RbYGe.

Properties
The total magnetic moment comes out at 0.0 μB per cell. For the theoretical density, the calculation gives 3.6 g/cm³. The density of states at the Fermi level is 1.53 states/eV/f.u. As for the energy of formation: -159.3 meV/atom. The uncorrected energy comes out at -4.18 eV per atom. The value obtained for the calculated volume is 115 Å³ per cell.

a b c (Å): 4.3086 6.8763 3.8917
angles (deg): 90.00 90.00 90.00
Last column: nearest neighbours and their distance in Å.
Space group Pmm2 (No. 25)
Inequivalent atoms, fractional coordinates:
Rb  0.0000  0.0000  0.0000 [1 per cell]  4 Rb 3.89-4.31, 4 Ge 3.94-3.96, 4 Y 4.06
Y  0.5000  0.5000  0.9965 [1 per cell]  4 Ge 2.90
Ge  0.0000  0.5000  0.4966 [1 per cell]  4 Y 2.90


No. 12
The following is a DFT calculation (PBE) of a relaxed structure of RbYGe.

Properties
The total magnetic moment comes out at 0.0 μB per cell. For the theoretical density, the calculation gives 3.6 g/cm³. The density of states at the Fermi level is 1.57 states/eV/f.u. As for the energy of formation: -195.8 meV/atom. The uncorrected energy comes out at -4.21 eV per atom. The value obtained for the calculated volume is 227 Å³ per cell.

a b c (Å): 4.1281 7.2534 7.9036
angles (deg): 90.11 90.01 106.47
Last column: nearest neighbours and their distance in Å.
Space group P-1 (No. 2)
Inequivalent atoms, fractional coordinates:
Rb  0.2329  0.4658  0.2500 [2 per cell]  3 Ge 3.75-3.82, 2 Rb 4.13
Y  0.5000  0.0000  0.0000 [1 per cell]  4 Ge 2.92
Y  0.5000  0.0000  0.5000 [1 per cell]  4 Ge 2.92
Ge  0.0418  0.0840  0.7502 [2 per cell]  4 Y 2.92


No. 13
The following is a DFT calculation (PBE) of a relaxed structure of RbYGe.

Properties
The total magnetic moment comes out at 0.0 μB per cell. For the theoretical density, the calculation gives 3.8 g/cm³. The density of states at the Fermi level is 0.00 states/eV/f.u. As for the energy of formation: 178.7 meV/atom. The uncorrected energy comes out at -3.84 eV per atom. The value obtained for the calculated volume is 427 Å³ per cell.

a b c (Å): 7.5278 7.5278 7.5278
angles (deg): 90.00 90.00 90.00
Last column: nearest neighbours and their distance in Å.
Space group F-43m (No. 216)
Inequivalent atoms, fractional coordinates:
Rb  0.0000  0.0000  0.0000 [4 per cell]  4 Ge 3.26
Y  0.0000  0.0000  0.5000 [4 per cell]  4 Ge 3.26
Ge  0.2500  0.2500  0.7500 [4 per cell]  4 Rb 3.26, 4 Y 3.26


No. 14
The following is a DFT calculation (PBE) of a relaxed structure of RbYGe.

Properties
The total magnetic moment comes out at 0.0 μB per cell. For the theoretical density, the calculation gives 3.4 g/cm³. The density of states at the Fermi level is 2.29 states/eV/f.u. As for the energy of formation: -316.7 meV/atom. The uncorrected energy comes out at -4.33 eV per atom. The value obtained for the calculated volume is 238 Å³ per cell.

a b c (Å): 4.2959 4.0037 13.9970
angles (deg): 90.00 98.73 90.00
Last column: nearest neighbours and their distance in Å.
Space group P2_1 (No. 4)
Inequivalent atoms, fractional coordinates:
Rb  0.1694  0.0000  0.3421 [2 per cell]  1 Ge 3.73, 2 Rb 4.00
Y  0.4493  0.9978  0.8977 [2 per cell]  6 Ge 2.96-3.23
Ge  0.0360  0.9982  0.0724 [2 per cell]  2 Ge 2.83, 4 Y 2.96-2.97


Looking at offset from the most stable computed form for the records above, in order, we have 136; 134; 0; 217; 321; 0; 338; 85; 1016; 409; 219; 183; 557; 62 meV per atom.